Here is an optimized crystal structure of Al21Pt8 from the Open Quantum Materials Database. Energies are from PBE.

Results
M_tot   0.00 μB/f.u.
Volume   457.2 Å³/f.u.
Uncorrected energy   -5.14 eV/atom
Space group   I4_1/a

Cell: 10.675 10.675 10.675 Å, 104.68 104.68 119.56°
Atoms (fractional coordinates):
1 Al 0.015 0.929 0.590
2 Al 0.064 0.672 0.286
3 Al 0.075 0.485 0.414
4 Al 0.076 0.804 0.087
5 Al 0.115 0.222 0.786
6 Al 0.140 0.881 0.822
7 Al 0.161 0.575 0.090
8 Al 0.172 0.385 0.607
9 Al 0.177 0.136 0.022
10 Al 0.182 0.360 0.241
11 Al 0.218 0.990 0.413
12 Al 0.278 0.564 0.893
13 Al 0.304 0.718 0.728
14 Al 0.345 0.323 0.459
15 Al 0.364 0.887 0.041
16 Al 0.375 0.125 0.250
17 Al 0.381 0.059 0.741
18 Al 0.387 0.845 0.522
19 Al 0.429 0.339 0.914
20 Al 0.441 0.682 0.322
21 Al 0.490 0.576 0.772
22 Al 0.510 0.424 0.228
23 Al 0.559 0.318 0.678
24 Al 0.571 0.661 0.086
25 Al 0.613 0.155 0.478
26 Al 0.619 0.941 0.259
27 Al 0.625 0.875 0.750
28 Al 0.636 0.113 0.959
29 Al 0.655 0.677 0.541
30 Al 0.696 0.282 0.272
31 Al 0.722 0.436 0.107
32 Al 0.782 0.010 0.587
33 Al 0.818 0.640 0.759
34 Al 0.823 0.864 0.978
35 Al 0.828 0.615 0.393
36 Al 0.839 0.425 0.910
37 Al 0.860 0.119 0.178
38 Al 0.885 0.778 0.214
39 Al 0.924 0.196 0.913
40 Al 0.925 0.515 0.586
41 Al 0.936 0.328 0.714
42 Al 0.985 0.071 0.410
43 Pt 0.069 0.632 0.866
44 Pt 0.090 0.063 0.213
45 Pt 0.132 0.766 0.563
46 Pt 0.266 0.203 0.634
47 Pt 0.297 0.431 0.063
48 Pt 0.350 0.877 0.287
49 Pt 0.377 0.590 0.527
50 Pt 0.437 0.150 0.027
51 Pt 0.563 0.850 0.973
52 Pt 0.623 0.410 0.473
53 Pt 0.650 0.123 0.713
54 Pt 0.703 0.569 0.937
55 Pt 0.734 0.797 0.366
56 Pt 0.868 0.234 0.437
57 Pt 0.910 0.937 0.787
58 Pt 0.931 0.368 0.134

Here is an optimized crystal structure of Sc3TaB7 from the Open Quantum Materials Database. Energies are from PBE.

Results
M_tot   0.00 μB/f.u.
Volume   145.4 Å³/f.u.
Uncorrected energy   -7.09 eV/atom
Space group   Cm

Cell: 12.635 12.635 5.303 Å, 93.76 93.76 158.47°
Atoms (fractional coordinates):
1 Sc 0.070 0.930 0.000
2 Sc 0.129 0.715 0.665
3 Sc 0.553 0.750 0.370
4 Sc 0.715 0.129 0.665
5 Sc 0.750 0.553 0.370
6 Sc 0.930 0.070 0.000
7 Ta 0.296 0.526 0.772
8 Ta 0.526 0.296 0.772
9 B 0.039 0.545 0.056
10 B 0.172 0.556 0.534
11 B 0.260 0.969 0.351
12 B 0.285 0.694 0.868
13 B 0.336 0.913 0.231
14 B 0.448 0.513 0.952
15 B 0.513 0.448 0.952
16 B 0.545 0.039 0.056
17 B 0.556 0.172 0.534
18 B 0.631 0.968 0.092
19 B 0.694 0.285 0.868
20 B 0.913 0.336 0.231
21 B 0.968 0.631 0.092
22 B 0.969 0.260 0.351

Here is an optimized crystal structure of BaErZr from the Open Quantum Materials Database. Energies are from PBE.

Results
M_tot   1.19 μB/f.u.
Volume   106.0 Å³/f.u.
Distance to the lowest polymorph of the same formula   0.93 eV/f.u.
Uncorrected energy   -3.67 eV/atom
Space group   F-43m

Cell: 5.311 5.311 5.311 Å, 60.00 60.00 60.00°
Atoms (fractional coordinates):
1 Ba 0.000 0.000 0.000
2 Er 0.750 0.750 0.750
3 Zr 0.250 0.250 0.250

Here is an optimized crystal structure of In10PtSe10 from the Open Quantum Materials Database. Energies are from PBE.

Results
M_tot   0.01 μB/f.u.
Volume   581.6 Å³/f.u.
Uncorrected energy   -3.73 eV/atom
Space group   Pbam

Cell: 12.019 12.540 7.718 Å, 90.00 90.00 90.00°
Atoms (fractional coordinates):
1 In 0.000 0.000 0.233
2 In 0.000 0.000 0.767
3 In 0.119 0.410 0.252
4 In 0.119 0.410 0.748
5 In 0.146 0.721 0.000
6 In 0.163 0.646 0.500
7 In 0.337 0.146 0.500
8 In 0.354 0.221 0.000
9 In 0.381 0.910 0.252
10 In 0.381 0.910 0.748
11 In 0.500 0.500 0.233
12 In 0.500 0.500 0.767
13 In 0.619 0.090 0.252
14 In 0.619 0.090 0.748
15 In 0.646 0.779 0.000
16 In 0.663 0.854 0.500
17 In 0.837 0.354 0.500
18 In 0.854 0.279 0.000
19 In 0.881 0.590 0.252
20 In 0.881 0.590 0.748
21 Pt 0.000 0.500 0.500
22 Pt 0.500 0.000 0.500
23 Se 0.073 0.268 0.000
24 Se 0.111 0.116 0.500
25 Se 0.170 0.826 0.286
26 Se 0.170 0.826 0.714
27 Se 0.225 0.532 0.000
28 Se 0.275 0.032 0.000
29 Se 0.330 0.326 0.286
30 Se 0.330 0.326 0.714
31 Se 0.389 0.616 0.500
32 Se 0.427 0.768 0.000
33 Se 0.573 0.232 0.000
34 Se 0.611 0.384 0.500
35 Se 0.670 0.674 0.286
36 Se 0.670 0.674 0.714
37 Se 0.725 0.968 0.000
38 Se 0.775 0.468 0.000
39 Se 0.830 0.174 0.286
40 Se 0.830 0.174 0.714
41 Se 0.889 0.884 0.500
42 Se 0.927 0.732 0.000

Here is an optimized crystal structure of CdHg from the Open Quantum Materials Database. Energies are from PBE.

Results
Volume   47.1 Å³/f.u.
Energy of formation from the pure elements   0.04 eV per atom
Uncorrected energy   -0.56 eV/atom
Space group   P-6m2

Cell: 3.225 3.225 5.223 Å, 90.00 90.00 120.00°
Atoms (fractional coordinates):
1 Cd 0.000 0.000 0.000
2 Hg 0.667 0.333 0.500

Here is an optimized crystal structure of InIrAuSe3 from the Open Quantum Materials Database. Energies are from PBE.

Results
M_tot   0.00 μB/f.u.
Volume   138.4 Å³/f.u.
Uncorrected energy   -4.45 eV/atom
Space group   Cmcm

Cell: 7.354 7.354 10.079 Å, 90.00 90.00 149.48°
Atoms (fractional coordinates):
1 In 0.190 0.810 0.750
2 In 0.810 0.190 0.250
3 Ir 0.500 0.500 0.000
4 Ir 0.500 0.500 0.500
5 Au 0.166 0.834 0.250
6 Au 0.834 0.166 0.750
7 Se 0.113 0.887 0.016
8 Se 0.113 0.887 0.484
9 Se 0.451 0.549 0.250
10 Se 0.549 0.451 0.750
11 Se 0.887 0.113 0.516
12 Se 0.887 0.113 0.984

Here is an optimized crystal structure of TaNi2Sn from the Open Quantum Materials Database. Energies are from PBE.

Results
M_tot   0.01 μB/f.u.
Volume   60.9 Å³/f.u.
Uncorrected energy   -6.65 eV/atom
Space group   F-43m

Cell: 4.417 4.417 4.417 Å, 60.00 60.00 60.00°
Atoms (fractional coordinates):
1 Ta 0.000 0.000 0.000
2 Ni 0.250 0.250 0.250
3 Ni 0.500 0.500 0.500
4 Sn 0.750 0.750 0.750

Here is an optimized crystal structure of HfZr2Ni3As4Pd from the Open Quantum Materials Database. Energies are from PBE.

Results
M_tot   0.00 μB/f.u.
Volume   186.6 Å³/f.u.
Distance to the lowest polymorph of the same formula   0.07 eV/f.u.
Uncorrected energy   -6.93 eV/atom
Space group   Pm

Cell: 6.544 3.850 7.408 Å, 90.00 90.07 90.00°
Atoms (fractional coordinates):
1 Hf 0.000 0.000 0.000
2 Zr 0.452 0.500 0.508
3 Zr 0.514 0.000 0.129
4 Ni 0.352 0.500 0.875
5 Ni 0.603 0.000 0.759
6 Ni 0.824 0.500 0.256
7 As 0.218 0.500 0.181
8 As 0.224 0.000 0.710
9 As 0.726 0.500 0.920
10 As 0.739 0.000 0.449
11 Pd 0.118 0.000 0.385

Density values (in Mg/m³) by entry order: 7.727; 4.471; 6.203; 6.090; 11.045; 8.888; 11.364; 8.391.